Computed, not measured: crystalline Sr2N at its relaxed geometry at the GGA-PBEsol level of DFT.

Structure (extended XYZ):
```
3
Lattice="3.797 0.000 0.000 1.899 3.289 0.000 1.899 1.096 6.895" Properties=species:S:1:pos:R:3 pbc="T T T"
Sr 1.899 1.096 1.363
Sr 5.696 3.289 5.532
N 0.000 0.000 0.000
```

## Properties
Symmetry = No. 166
VASP energy = -4.714 eV per atom
DOS(E_F) = 0.32 states/eV per atom